The following is a PBE-GGA calculation of a geometry-optimized BiW2I structure, from Alexandria via LeMat-Bulk.

The relative energy among the computed polymorphs comes out at 0.000 eV/atom. For the total energy, the calculation gives -6.41 eV per atom. As for the volume: 317 Å³ per cell. As for the formation energy (no corrections): 1426 meV/atom.

The space group is Fm-3m (No. 225) and the conventional cell measures 6.8171, 6.8171 and 6.8171 Å, with angles of 90.00, 90.00 and 90.00 degrees. The distinct sites, in fractional coordinates, are Bi at (0.0000, 0.0000, 0.0000), W at (0.2500, 0.2500, 0.2500) and I at (0.0000, 0.0000, 0.5000).